Record 1
Entry from the Alexandria database: an optimized crystal structure of Li3Ag5Cl12 (GGA-PBE).

* ρ: 3.1 Mg/m³
* calculated volume: 4250 Å³/cell
* D(E_F): 88.290 states/eV per cell
* formation energy (no corrections): -0.720 eV per atom

Geometry as CIF:
```
data_Li3Ag5Cl12
_cell_length_a 16.1984
_cell_length_b 16.1984
_cell_length_c 16.1984
_cell_angle_alpha 90.00
_cell_angle_beta 90.00
_cell_angle_gamma 90.00
_space_group_name_H-M_alt 'I a -3 d'
_space_group_IT_number 230
_space_group_name_Hall '-I 4bd 2c 3'
loop_
_atom_site_label
_atom_site_fract_x
_atom_site_fract_y
_atom_site_fract_z
Li1 0.0000 0.2500 0.1250
Ag1 0.0000 0.0000 0.0000
Ag2 0.0000 0.2500 0.3750
Cl1 0.9997 0.1568 0.0039
```

=====

Record 2
Entry from the Alexandria database: an optimized crystal structure of Li4AgCl6 (GGA-PBE).

* ρ: 2.3 Mg/m³
* calculated volume: 995 Å³/cell
* D(E_F): 4.504 states/eV per cell
* formation energy (no corrections): -1.379 eV per atom

Geometry as CIF:
```
data_Li4AgCl6
_cell_length_a 10.9094
_cell_length_b 7.1210
_cell_length_c 12.8574
_cell_angle_alpha 90.00
_cell_angle_beta 95.19
_cell_angle_gamma 90.00
_space_group_name_H-M_alt 'C 1 c 1'
_space_group_IT_number 9
loop_
_space_group_symop_operation_xyz
'x,y,z'
'x,-y,z+1/2'
'x+1/2,y+1/2,z'
'x+1/2,-y+1/2,z+1/2'
loop_
_atom_site_label
_atom_site_fract_x
_atom_site_fract_y
_atom_site_fract_z
Li1 0.0000 0.0297 0.0000
Li2 0.1425 0.4523 0.4982
Li3 0.1551 0.1965 0.7388
Li4 0.3452 0.2957 0.2193
Ag1 0.4962 0.1662 0.7035
Cl1 0.0031 0.0238 0.8205
Cl2 0.0078 0.2644 0.5859
Cl3 0.1562 0.2429 0.0828
Cl4 0.1705 0.4821 0.3160
Cl5 0.3362 0.3069 0.5734
Cl6 0.3375 0.0187 0.8002
```

=====

Record 3
Entry from the Alexandria database: an optimized crystal structure of Li2AgCl (GGA-PBE).

* ρ: 3.9 Mg/m³
* energy above the lowest structure with this stoichiometry: 25 meV per atom
* calculated volume: 68 Å³/cell
* D(E_F): 0.635 states/eV per cell
* formation energy (no corrections): -0.787 eV per atom

Geometry as CIF:
```
data_Li2AgCl
_cell_length_a 3.1967
_cell_length_b 3.1967
_cell_length_c 6.6127
_cell_angle_alpha 90.00
_cell_angle_beta 90.00
_cell_angle_gamma 90.00
_space_group_name_H-M_alt 'P 4/m m m'
_space_group_IT_number 123
_space_group_name_Hall '-P 4 2'
loop_
_atom_site_label
_atom_site_fract_x
_atom_site_fract_y
_atom_site_fract_z
Li1 0.0000 0.0000 0.2309
Ag1 0.5000 0.5000 0.5000
Cl1 0.5000 0.5000 0.0000
```

=====

Record 4
Entry from the Alexandria database: an optimized crystal structure of Li2AgCl (GGA-PBE).

* ρ: 3.3 Mg/m³
* energy above the lowest structure with this stoichiometry: 540 meV per atom
* calculated volume: 318 Å³/cell
* D(E_F): 2.960 states/eV per cell
* formation energy (no corrections): -0.272 eV per atom

Geometry as CIF:
```
data_Li2AgCl
_cell_length_a 6.8248
_cell_length_b 6.8248
_cell_length_c 6.8248
_cell_angle_alpha 90.00
_cell_angle_beta 90.00
_cell_angle_gamma 90.00
_space_group_name_H-M_alt 'F -4 3 m'
_space_group_IT_number 216
_space_group_name_Hall 'F -4 2 3'
loop_
_atom_site_label
_atom_site_fract_x
_atom_site_fract_y
_atom_site_fract_z
Li1 0.0000 0.0000 0.0000
Li2 0.2500 0.2500 0.2500
Ag1 0.2500 0.2500 0.7500
Cl1 0.0000 0.0000 0.5000
```

=====

Record 5
Entry from the Alexandria database: an optimized crystal structure of Li2AgCl (GGA-PBE).

* ρ: 3.2 Mg/m³
* energy above the lowest structure with this stoichiometry: 23 meV per atom
* calculated volume: 82 Å³/cell
* D(E_F): 0.708 states/eV per cell
* formation energy (no corrections): -0.789 eV per atom

Geometry as CIF:
```
data_Li2AgCl
_cell_length_a 3.4727
_cell_length_b 3.4727
_cell_length_c 6.7741
_cell_angle_alpha 90.00
_cell_angle_beta 90.00
_cell_angle_gamma 90.00
_space_group_name_H-M_alt 'P 4 m m'
_space_group_IT_number 99
loop_
_space_group_symop_operation_xyz
'x,y,z'
'-y,x,z'
'-x,-y,z'
'y,-x,z'
'-x,y,z'
'y,x,z'
'x,-y,z'
'-y,-x,z'
loop_
_atom_site_label
_atom_site_fract_x
_atom_site_fract_y
_atom_site_fract_z
Li1 0.0000 0.0000 0.0000
Li2 0.5000 0.5000 0.3073
Ag1 0.0000 0.0000 0.4631
Cl1 0.5000 0.5000 0.9580
```

=====

Record 6
Entry from the Alexandria database: an optimized crystal structure of LiAg4Cl (GGA-PBE).

* ρ: 6.3 Mg/m³
* calculated volume: 498 Å³/cell
* D(E_F): 4.414 states/eV per cell
* formation energy (no corrections): -0.076 eV per atom

Geometry as CIF:
```
data_LiAg4Cl
_cell_length_a 7.9262
_cell_length_b 7.9262
_cell_length_c 7.9262
_cell_angle_alpha 90.00
_cell_angle_beta 90.00
_cell_angle_gamma 90.00
_space_group_name_H-M_alt 'F -4 3 m'
_space_group_IT_number 216
_space_group_name_Hall 'F -4 2 3'
loop_
_atom_site_label
_atom_site_fract_x
_atom_site_fract_y
_atom_site_fract_z
Li1 0.0000 0.0000 0.0000
Ag1 0.1252 0.1252 0.6252
Cl1 0.2500 0.2500 0.2500
```

=====

Record 7
Entry from the Alexandria database: an optimized crystal structure of Li2Ag5Cl12 (GGA-PBE).

* ρ: 2.5 Mg/m³
* calculated volume: 1282 Å³/cell
* D(E_F): 13.784 states/eV per cell
* formation energy (no corrections): -0.626 eV per atom

Geometry as CIF:
```
data_Li2Ag5Cl12
_cell_length_a 12.8439
_cell_length_b 7.4192
_cell_length_c 13.5771
_cell_angle_alpha 90.00
_cell_angle_beta 97.84
_cell_angle_gamma 90.00
_space_group_name_H-M_alt 'C 1 2/m 1'
_space_group_IT_number 12
loop_
_space_group_symop_operation_xyz
'x,y,z'
'-x,-y,-z'
'-x,y,-z'
'x,-y,z'
'x+1/2,y+1/2,z'
'-x+1/2,-y+1/2,-z'
'-x+1/2,y+1/2,-z'
'x+1/2,-y+1/2,z'
loop_
_atom_site_label
_atom_site_fract_x
_atom_site_fract_y
_atom_site_fract_z
Li1 0.0000 0.2494 0.0000
Ag1 0.0000 0.0000 0.5000
Ag2 0.0707 0.0000 0.7621
Ag3 0.2459 0.5000 0.9860
Cl1 0.0181 0.2264 0.6318
Cl2 0.1049 0.0000 0.1061
Cl3 0.1080 0.5000 0.0887
Cl4 0.1387 0.2382 0.8777
```

=====

Record 8
Entry from the Alexandria database: an optimized crystal structure of LiAgCl3 (GGA-PBE).

* ρ: 2.8 Mg/m³
* energy above the lowest structure with this stoichiometry: 199 meV per atom
* calculated volume: 130 Å³/cell
* D(E_F): 1.250 states/eV per cell
* formation energy (no corrections): -0.702 eV per atom

Geometry as CIF:
```
data_LiAgCl3
_cell_length_a 5.0607
_cell_length_b 5.0607
_cell_length_c 5.0607
_cell_angle_alpha 90.00
_cell_angle_beta 90.00
_cell_angle_gamma 90.00
_space_group_name_H-M_alt 'P m -3 m'
_space_group_IT_number 221
_space_group_name_Hall '-P 4 2 3'
loop_
_atom_site_label
_atom_site_fract_x
_atom_site_fract_y
_atom_site_fract_z
Li1 0.0000 0.0000 0.0000
Ag1 0.5000 0.5000 0.5000
Cl1 0.0000 0.5000 0.5000
```

=====

Record 9
Entry from the Alexandria database: an optimized crystal structure of Li2Ag3Cl6 (GGA-PBE).

* ρ: 3.3 Mg/m³
* calculated volume: 275 Å³/cell
* D(E_F): 6.958 states/eV per cell
* formation energy (no corrections): -0.865 eV per atom

Geometry as CIF:
```
data_Li2Ag3Cl6
_cell_length_a 4.3489
_cell_length_b 4.3489
_cell_length_c 16.7790
_cell_angle_alpha 90.00
_cell_angle_beta 90.00
_cell_angle_gamma 120.00
_space_group_name_H-M_alt 'P 3 m 1'
_space_group_IT_number 156
loop_
_space_group_symop_operation_xyz
'x,y,z'
'-y,x-y,z'
'-x+y,-x,z'
'-y,-x,z'
'-x+y,y,z'
'x,x-y,z'
loop_
_atom_site_label
_atom_site_fract_x
_atom_site_fract_y
_atom_site_fract_z
Li1 0.0000 0.0000 0.0000
Li2 0.3333 0.6667 0.3933
Ag1 0.3333 0.6667 0.7865
Ag2 0.6667 0.3333 0.2248
Ag3 0.6667 0.3333 0.5770
Cl1 0.3333 0.6667 0.2418
Cl2 0.3333 0.6667 0.5417
Cl3 0.3333 0.6667 0.9351
Cl4 0.6667 0.3333 0.0776
Cl5 0.6667 0.3333 0.3847
Cl6 0.6667 0.3333 0.7338
```

=====

Record 10
Entry from the Alexandria database: an optimized crystal structure of LiAg4Cl6 (GGA-PBE).

* ρ: 3.9 Mg/m³
* calculated volume: 1112 Å³/cell
* D(E_F): 15.580 states/eV per cell
* formation energy (no corrections): -0.646 eV per atom

Geometry as CIF:
```
data_LiAg4Cl6
_cell_length_a 12.7363
_cell_length_b 7.6241
_cell_length_c 12.6315
_cell_angle_alpha 90.00
_cell_angle_beta 115.01
_cell_angle_gamma 90.00
_space_group_name_H-M_alt 'C 1 c 1'
_space_group_IT_number 9
loop_
_space_group_symop_operation_xyz
'x,y,z'
'x,-y,z+1/2'
'x+1/2,y+1/2,z'
'x+1/2,-y+1/2,z+1/2'
loop_
_atom_site_label
_atom_site_fract_x
_atom_site_fract_y
_atom_site_fract_z
Li1 0.0000 0.2219 0.0000
Ag1 0.0124 0.2657 0.5633
Ag2 0.2110 0.4440 0.9021
Ag3 0.3012 0.1213 0.2788
Ag4 0.3982 0.3629 0.7030
Cl1 0.0043 0.4819 0.9036
Cl2 0.0084 0.0370 0.4100
Cl3 0.0964 0.2073 0.2011
Cl4 0.2168 0.2690 0.7337
Cl5 0.3095 0.2546 0.4936
Cl6 0.3353 0.2733 0.1076
```

=====

Record 11
Entry from the Alexandria database: an optimized crystal structure of Li3Ag2Cl7 (GGA-PBE).

* ρ: 3.0 Mg/m³
* calculated volume: 1066 Å³/cell
* D(E_F): 13.733 states/eV per cell
* formation energy (no corrections): -1.037 eV per atom

Geometry as CIF:
```
data_Li3Ag2Cl7
_cell_length_a 21.9744
_cell_length_b 7.2277
_cell_length_c 6.7105
_cell_angle_alpha 90.00
_cell_angle_beta 90.00
_cell_angle_gamma 90.00
_space_group_name_H-M_alt 'C m c 21'
_space_group_IT_number 36
loop_
_space_group_symop_operation_xyz
'x,y,z'
'-x,-y,z+1/2'
'-x,y,z'
'x,-y,z+1/2'
'x+1/2,y+1/2,z'
'-x+1/2,-y+1/2,z+1/2'
'-x+1/2,y+1/2,z'
'x+1/2,-y+1/2,z+1/2'
loop_
_atom_site_label
_atom_site_fract_x
_atom_site_fract_y
_atom_site_fract_z
Li1 0.0000 0.1941 0.0000
Li2 0.1915 0.3171 0.9556
Ag1 0.1084 0.2449 0.5081
Cl1 0.0000 0.1504 0.4239
Cl2 0.0789 0.3768 0.8343
Cl3 0.1390 0.1015 0.1996
Cl4 0.2139 0.3668 0.5850
```

=====

Record 12
Entry from the Alexandria database: an optimized crystal structure of LiAg4Cl5 (GGA-PBE).

* ρ: 3.9 Mg/m³
* energy above the lowest structure with this stoichiometry: 0 meV per atom
* calculated volume: 529 Å³/cell
* D(E_F): 0.000 states/eV per cell
* formation energy (no corrections): -0.712 eV per atom

Geometry as CIF:
```
data_LiAg4Cl5
_cell_length_a 4.2029
_cell_length_b 4.2029
_cell_length_c 34.5730
_cell_angle_alpha 90.00
_cell_angle_beta 90.00
_cell_angle_gamma 120.00
_space_group_name_H-M_alt 'P 3 m 1'
_space_group_IT_number 156
loop_
_space_group_symop_operation_xyz
'x,y,z'
'-y,x-y,z'
'-x+y,-x,z'
'-y,-x,z'
'-x+y,y,z'
'x,x-y,z'
loop_
_atom_site_label
_atom_site_fract_x
_atom_site_fract_y
_atom_site_fract_z
Li1 0.0000 0.0000 0.0000
Li2 0.0000 0.0000 0.1899
Ag1 0.0000 0.0000 0.3867
Ag2 0.0000 0.0000 0.5935
Ag3 0.0000 0.0000 0.8002
Ag4 0.3333 0.6667 0.0924
Ag5 0.3333 0.6667 0.2823
Ag6 0.3333 0.6667 0.4901
Ag7 0.3333 0.6667 0.6968
Ag8 0.3333 0.6667 0.9035
Cl1 0.0000 0.0000 0.1209
Cl2 0.0000 0.0000 0.3114
Cl3 0.0000 0.0000 0.5185
Cl4 0.0000 0.0000 0.7250
Cl5 0.0000 0.0000 0.9310
Cl6 0.3333 0.6667 0.0175
Cl7 0.3333 0.6667 0.2076
Cl8 0.3333 0.6667 0.4150
Cl9 0.3333 0.6667 0.6218
Cl10 0.3333 0.6667 0.8281
```

=====

Record 13
Entry from the Alexandria database: an optimized crystal structure of LiAg3Cl7 (GGA-PBE).

* ρ: 2.6 Mg/m³
* calculated volume: 741 Å³/cell
* D(E_F): 11.805 states/eV per cell
* formation energy (no corrections): -0.448 eV per atom

Geometry as CIF:
```
data_LiAg3Cl7
_cell_length_a 7.6331
_cell_length_b 21.1704
_cell_length_c 4.7867
_cell_angle_alpha 90.00
_cell_angle_beta 106.78
_cell_angle_gamma 90.00
_space_group_name_H-M_alt 'C 1 2/m 1'
_space_group_IT_number 12
loop_
_space_group_symop_operation_xyz
'x,y,z'
'-x,-y,-z'
'-x,y,-z'
'x,-y,z'
'x+1/2,y+1/2,z'
'-x+1/2,-y+1/2,-z'
'-x+1/2,y+1/2,-z'
'x+1/2,-y+1/2,z'
loop_
_atom_site_label
_atom_site_fract_x
_atom_site_fract_y
_atom_site_fract_z
Li1 0.0000 0.0000 0.0000
Ag1 0.0000 0.2501 0.5000
Ag2 0.0000 0.5000 0.0000
Cl1 0.0000 0.0000 0.5000
Cl2 0.2011 0.5000 0.7068
Cl3 0.2501 0.1740 0.5018
```

=====

Record 14
Entry from the Alexandria database: an optimized crystal structure of LiAg5Cl12 (GGA-PBE).

* ρ: 3.4 Mg/m³
* calculated volume: 941 Å³/cell
* D(E_F): 32.898 states/eV per cell
* formation energy (no corrections): -0.407 eV per atom

Geometry as CIF:
```
data_LiAg5Cl12
_cell_length_a 6.3998
_cell_length_b 11.9724
_cell_length_c 12.2861
_cell_angle_alpha 90.00
_cell_angle_beta 92.09
_cell_angle_gamma 90.00
_space_group_name_H-M_alt 'C 1 2/m 1'
_space_group_IT_number 12
loop_
_space_group_symop_operation_xyz
'x,y,z'
'-x,-y,-z'
'-x,y,-z'
'x,-y,z'
'x+1/2,y+1/2,z'
'-x+1/2,-y+1/2,-z'
'-x+1/2,y+1/2,-z'
'x+1/2,-y+1/2,z'
loop_
_atom_site_label
_atom_site_fract_x
_atom_site_fract_y
_atom_site_fract_z
Li1 0.0000 0.0000 0.0000
Ag1 0.0000 0.1670 0.5000
Ag2 0.0000 0.3428 0.0000
Ag3 0.0000 0.5000 0.5000
Cl1 0.1853 0.0000 0.3825
Cl2 0.1854 0.3331 0.3824
Cl3 0.1906 0.5000 0.1188
Cl4 0.2003 0.1634 0.1087
```

=====

Record 15
Entry from the Alexandria database: an optimized crystal structure of Li4AgCl5 (GGA-PBE).

* ρ: 2.3 Mg/m³
* calculated volume: 448 Å³/cell
* D(E_F): 0.000 states/eV per cell
* formation energy (no corrections): -1.544 eV per atom

Geometry as CIF:
```
data_Li4AgCl5
_cell_length_a 3.9869
_cell_length_b 3.9869
_cell_length_c 32.5657
_cell_angle_alpha 90.00
_cell_angle_beta 90.00
_cell_angle_gamma 120.00
_space_group_name_H-M_alt 'P 3 m 1'
_space_group_IT_number 156
loop_
_space_group_symop_operation_xyz
'x,y,z'
'-y,x-y,z'
'-x+y,-x,z'
'-y,-x,z'
'-x+y,y,z'
'x,x-y,z'
loop_
_atom_site_label
_atom_site_fract_x
_atom_site_fract_y
_atom_site_fract_z
Li1 0.0000 0.0000 0.0000
Li2 0.0000 0.0000 0.1910
Li3 0.0000 0.0000 0.3836
Li4 0.0000 0.0000 0.5755
Li5 0.0000 0.0000 0.7885
Li6 0.6667 0.3333 0.0953
Li7 0.6667 0.3333 0.2871
Li8 0.6667 0.3333 0.4795
Ag1 0.6667 0.3333 0.6770
Ag2 0.6667 0.3333 0.8891
Cl1 0.0000 0.0000 0.1179
Cl2 0.0000 0.0000 0.3102
Cl3 0.0000 0.0000 0.5022
Cl4 0.0000 0.0000 0.7146
Cl5 0.0000 0.0000 0.9263
Cl6 0.6667 0.3333 0.0223
Cl7 0.6667 0.3333 0.2138
Cl8 0.6667 0.3333 0.4063
Cl9 0.6667 0.3333 0.5979
Cl10 0.6667 0.3333 0.8102
```

=====

Record 16
Entry from the Alexandria database: an optimized crystal structure of LiAg6Cl8 (GGA-PBE).

* ρ: 4.0 Mg/m³
* calculated volume: 391 Å³/cell
* D(E_F): 9.247 states/eV per cell
* formation energy (no corrections): -0.563 eV per atom

Geometry as CIF:
```
data_LiAg6Cl8
_cell_length_a 9.0735
_cell_length_b 9.0735
_cell_length_c 5.4883
_cell_angle_alpha 90.00
_cell_angle_beta 90.00
_cell_angle_gamma 120.00
_space_group_name_H-M_alt 'P -3'
_space_group_IT_number 147
loop_
_space_group_symop_operation_xyz
'x,y,z'
'-x,-y,-z'
'-y,x-y,z'
'y,-x+y,-z'
'-x+y,-x,z'
'x-y,x,-z'
loop_
_atom_site_label
_atom_site_fract_x
_atom_site_fract_y
_atom_site_fract_z
Li1 0.0000 0.0000 0.0000
Ag1 0.1052 0.3597 0.7275
Cl1 0.1073 0.3017 0.2339
Cl2 0.3333 0.6667 0.7254
```

=====

Record 17
Entry from the Alexandria database: an optimized crystal structure of Li2AgCl (GGA-PBE).

* ρ: 3.6 Mg/m³
* energy above the lowest structure with this stoichiometry: 0 meV per atom
* calculated volume: 144 Å³/cell
* D(E_F): 1.296 states/eV per cell
* formation energy (no corrections): -0.812 eV per atom

Geometry as CIF:
```
data_Li2AgCl
_cell_length_a 5.9712
_cell_length_b 3.4596
_cell_length_c 7.2683
_cell_angle_alpha 90.00
_cell_angle_beta 106.04
_cell_angle_gamma 90.00
_space_group_name_H-M_alt 'C 1 2/m 1'
_space_group_IT_number 12
loop_
_space_group_symop_operation_xyz
'x,y,z'
'-x,-y,-z'
'-x,y,-z'
'x,-y,z'
'x+1/2,y+1/2,z'
'-x+1/2,-y+1/2,-z'
'-x+1/2,y+1/2,-z'
'x+1/2,-y+1/2,z'
loop_
_atom_site_label
_atom_site_fract_x
_atom_site_fract_y
_atom_site_fract_z
Li1 0.2384 0.0000 0.2143
Ag1 0.0000 0.0000 0.5000
Cl1 0.0000 0.5000 0.0000
```